This record from Alexandria via LeMat-Bulk describes SrAl3Sn at its PBEsol-relaxed geometry. The functional is SCAN.

Computed properties:
Space-group type: Pm-3m (221)
Total energy in eV/atom: -15.81

Structure (CIF):
```
data_SrAl3Sn
_cell_length_a 5.285
_cell_length_b 5.285
_cell_length_c 5.285
_cell_angle_alpha 90.00
_cell_angle_beta 90.00
_cell_angle_gamma 90.00
_space_group_name_H-M_alt 'P 1'
_space_group_IT_number 1
_space_group_name_Hall 'P 1'
loop_
_atom_site_label
_atom_site_fract_x
_atom_site_fract_y
_atom_site_fract_z
_atom_site_occupancy
Sr1 0.000 0.000 0.000 1
Al1 0.000 0.500 0.500 1
Al2 0.500 0.000 0.500 1
Al3 0.500 0.500 0.000 1
Sn1 0.500 0.500 0.500 1
```

=====

This record from Alexandria via LeMat-Bulk describes Co4TcSe at its PBEsol-relaxed geometry. The functional is SCAN.

Computed properties:
ΔE_f (raw) in kcal/mol of atoms: 11.8
Space-group type: F-43m (216)
Total energy in eV/atom: -20.21

Structure (CIF):
```
data_Co4TcSe
_cell_length_a 4.646
_cell_length_b 4.646
_cell_length_c 4.646
_cell_angle_alpha 60.00
_cell_angle_beta 60.00
_cell_angle_gamma 60.00
_space_group_name_H-M_alt 'P 1'
_space_group_IT_number 1
_space_group_name_Hall 'P 1'
loop_
_atom_site_label
_atom_site_fract_x
_atom_site_fract_y
_atom_site_fract_z
_atom_site_occupancy
Co1 0.124 0.124 0.124 1
Co2 0.124 0.124 0.627 1
Co3 0.124 0.627 0.124 1
Co4 0.627 0.124 0.124 1
Tc1 0.750 0.750 0.750 1
Se1 0.500 0.500 0.500 1
```

=====

This record from Alexandria via LeMat-Bulk describes SrGa3C at its PBEsol-relaxed geometry. The functional is SCAN.

Computed properties:
Space-group type: Pm-3m (221)
Total energy in eV/atom: -15.67

Structure (CIF):
```
data_SrGa3C
_cell_length_a 4.555
_cell_length_b 4.555
_cell_length_c 4.555
_cell_angle_alpha 90.00
_cell_angle_beta 90.00
_cell_angle_gamma 90.00
_space_group_name_H-M_alt 'P 1'
_space_group_IT_number 1
_space_group_name_Hall 'P 1'
loop_
_atom_site_label
_atom_site_fract_x
_atom_site_fract_y
_atom_site_fract_z
_atom_site_occupancy
Sr1 0.000 0.000 0.000 1
Ga1 0.000 0.500 0.500 1
Ga2 0.500 0.000 0.500 1
Ga3 0.500 0.500 0.000 1
C1 0.500 0.500 0.500 1
```

=====

This record from Alexandria via LeMat-Bulk describes SrHf2H at its PBEsol-relaxed geometry. The functional is SCAN.

Computed properties:
Distance to the lowest polymorph of the same formula in eV per atom: 0.0000
Space-group type: Fd-3m (227)
Total energy in eV/atom: -37.54

Structure (CIF):
```
data_SrHf2H
_cell_length_a 6.354
_cell_length_b 6.354
_cell_length_c 6.354
_cell_angle_alpha 60.00
_cell_angle_beta 60.00
_cell_angle_gamma 60.00
_space_group_name_H-M_alt 'P 1'
_space_group_IT_number 1
_space_group_name_Hall 'P 1'
loop_
_atom_site_label
_atom_site_fract_x
_atom_site_fract_y
_atom_site_fract_z
_atom_site_occupancy
Sr1 0.125 0.125 0.125 1
Sr2 0.875 0.875 0.875 1
Hf1 0.000 0.500 0.500 1
Hf2 0.500 0.000 0.500 1
Hf3 0.500 0.500 0.000 1
Hf4 0.500 0.500 0.500 1
H1 0.375 0.375 0.375 1
H2 0.625 0.625 0.625 1
```

=====

This record from Alexandria via LeMat-Bulk describes KZn2Hg at its PBEsol-relaxed geometry. The functional is SCAN.

Computed properties:
Space-group type: Pm (6)
Total energy in eV/atom: -25.88

Structure (CIF):
```
data_KZn2Hg
_cell_length_a 3.111
_cell_length_b 4.000
_cell_length_c 7.796
_cell_angle_alpha 90.00
_cell_angle_beta 101.58
_cell_angle_gamma 90.00
_space_group_name_H-M_alt 'P 1'
_space_group_IT_number 1
_space_group_name_Hall 'P 1'
loop_
_atom_site_label
_atom_site_fract_x
_atom_site_fract_y
_atom_site_fract_z
_atom_site_occupancy
K1 0.000 0.000 0.000 1
Zn1 0.209 0.000 0.427 1
Zn2 0.675 0.500 0.359 1
Hg1 0.347 0.500 0.694 1
```

=====

This record from Alexandria via LeMat-Bulk describes BeRu2Pb at its PBEsol-relaxed geometry. The functional is SCAN.

Computed properties:
Distance to the lowest polymorph of the same formula in eV per atom: 0.0981
Space-group type: Cm (8)
Total energy in eV/atom: -37.04

Structure (CIF):
```
data_BeRu2Pb
_cell_length_a 4.389
_cell_length_b 4.389
_cell_length_c 5.244
_cell_angle_alpha 97.62
_cell_angle_beta 97.62
_cell_angle_gamma 39.03
_space_group_name_H-M_alt 'P 1'
_space_group_IT_number 1
_space_group_name_Hall 'P 1'
loop_
_atom_site_label
_atom_site_fract_x
_atom_site_fract_y
_atom_site_fract_z
_atom_site_occupancy
Be1 0.000 0.000 0.000 1
Ru1 0.465 0.465 0.322 1
Ru2 0.727 0.727 0.116 1
Pb1 0.221 0.221 0.647 1
```

=====

This record from Alexandria via LeMat-Bulk describes BeBr2Cl at its PBEsol-relaxed geometry. The functional is SCAN.

Computed properties:
Distance to the lowest polymorph of the same formula in eV per atom: 0.0000
ΔE_f (raw) in kcal/mol of atoms: -8.9
Space-group type: R-3m (166)
Total energy in eV/atom: -13.20

Structure (CIF):
```
data_BeBr2Cl
_cell_length_a 9.668
_cell_length_b 9.668
_cell_length_c 9.668
_cell_angle_alpha 19.93
_cell_angle_beta 19.93
_cell_angle_gamma 19.93
_space_group_name_H-M_alt 'P 1'
_space_group_IT_number 1
_space_group_name_Hall 'P 1'
loop_
_atom_site_label
_atom_site_fract_x
_atom_site_fract_y
_atom_site_fract_z
_atom_site_occupancy
Be1 0.000 0.000 0.000 1
Br1 0.284 0.284 0.284 1
Br2 0.716 0.716 0.716 1
Cl1 0.500 0.500 0.500 1
```

=====

This record from Alexandria via LeMat-Bulk describes KYSb2 at its PBEsol-relaxed geometry. The functional is SCAN.

Computed properties:
ΔE_f (raw) in kcal/mol of atoms: -17.5
Space-group type: Pmmm (47)
Total energy in eV/atom: -28.43

Structure (CIF):
```
data_KYSb2
_cell_length_a 3.303
_cell_length_b 4.154
_cell_length_c 8.676
_cell_angle_alpha 90.00
_cell_angle_beta 90.00
_cell_angle_gamma 90.00
_space_group_name_H-M_alt 'P 1'
_space_group_IT_number 1
_space_group_name_Hall 'P 1'
loop_
_atom_site_label
_atom_site_fract_x
_atom_site_fract_y
_atom_site_fract_z
_atom_site_occupancy
K1 0.000 0.000 0.000 1
Y1 0.000 0.000 0.500 1
Sb1 0.500 0.500 0.288 1
Sb2 0.500 0.500 0.712 1
```